# SmGaNi GGA-PBE relaxed
# * symmetry: Pnma (62)
# * electronic total energy: -5.04 eV per atom
data_SmGaNi
_chemical_formula_sum 'Sm4 Ga4 Ni4'
_space_group_name_H-M_alt 'P 1'
_space_group_IT_number 1
_cell_length_a 7.011
_cell_length_b 4.376
_cell_length_c 7.366
_cell_angle_alpha 90.00
_cell_angle_beta 90.00
_cell_angle_gamma 90.00
loop_
_space_group_symop_operation_xyz
'x,y,z'
loop_
_atom_site_label
_atom_site_type_symbol
_atom_site_fract_x
_atom_site_fract_y
_atom_site_fract_z
Ga1 Ga 0.324 0.750 0.082
Ga2 Ga 0.824 0.750 0.418
Ga3 Ga 0.176 0.250 0.582
Ga4 Ga 0.676 0.250 0.918
Ni1 Ni 0.703 0.750 0.091
Ni2 Ni 0.203 0.750 0.409
Ni3 Ni 0.797 0.250 0.591
Ni4 Ni 0.297 0.250 0.909
Sm1 Sm 0.022 0.250 0.196
Sm2 Sm 0.522 0.250 0.304
Sm3 Sm 0.478 0.750 0.696
Sm4 Sm 0.978 0.750 0.804

# Nd2Ir GGA-PBE relaxed
# * formation energy from the elements: 78.38 kJ per mole of atoms
# * symmetry: Fd-3m (227)
data_Nd2Ir
_chemical_formula_sum 'Nd4 Ir2'
_space_group_name_H-M_alt 'P 1'
_space_group_IT_number 1
_cell_length_a 5.963
_cell_length_b 5.963
_cell_length_c 5.963
_cell_angle_alpha 60.00
_cell_angle_beta 60.00
_cell_angle_gamma 60.00
loop_
_space_group_symop_operation_xyz
'x,y,z'
loop_
_atom_site_label
_atom_site_type_symbol
_atom_site_fract_x
_atom_site_fract_y
_atom_site_fract_z
Ir1 Ir 0.000 0.000 0.000
Ir2 Ir 0.250 0.250 0.250
Nd1 Nd 0.625 0.625 0.125
Nd2 Nd 0.625 0.125 0.625
Nd3 Nd 0.125 0.625 0.625
Nd4 Nd 0.625 0.625 0.625

# Co2W GGA-PBE relaxed
# * formation energy from the elements: 22.53 kJ per mole of atoms
# * symmetry: P4_2/mnm (136)
data_Co2W
_chemical_formula_sum 'Co20 W10'
_space_group_name_H-M_alt 'P 1'
_space_group_IT_number 1
_cell_length_a 8.808
_cell_length_b 8.808
_cell_length_c 4.939
_cell_angle_alpha 90.00
_cell_angle_beta 90.00
_cell_angle_gamma 90.00
loop_
_space_group_symop_operation_xyz
'x,y,z'
loop_
_atom_site_label
_atom_site_type_symbol
_atom_site_fract_x
_atom_site_fract_y
_atom_site_fract_z
Co1 Co 0.732 0.062 0.000
Co2 Co 0.464 0.134 0.000
Co3 Co 0.938 0.268 0.000
Co4 Co 0.400 0.400 0.000
Co5 Co 0.134 0.464 0.000
Co6 Co 0.866 0.536 0.000
Co7 Co 0.600 0.600 0.000
Co8 Co 0.062 0.732 0.000
Co9 Co 0.536 0.866 0.000
Co10 Co 0.268 0.938 0.000
Co11 Co 0.634 0.036 0.500
Co12 Co 0.900 0.100 0.500
Co13 Co 0.438 0.232 0.500
Co14 Co 0.964 0.366 0.500
Co15 Co 0.232 0.438 0.500
Co16 Co 0.768 0.562 0.500
Co17 Co 0.036 0.634 0.500
Co18 Co 0.562 0.768 0.500
Co19 Co 0.100 0.900 0.500
Co20 Co 0.366 0.964 0.500
W1 W 0.000 0.000 0.000
W2 W 0.691 0.309 0.249
W3 W 0.309 0.691 0.249
W4 W 0.191 0.191 0.251
W5 W 0.809 0.809 0.251
W6 W 0.500 0.500 0.500
W7 W 0.191 0.191 0.749
W8 W 0.809 0.809 0.749
W9 W 0.691 0.309 0.751
W10 W 0.309 0.691 0.751

# Sn2AsAu GGA-PBE relaxed
# * symmetry: F-43m (216)
# * electronic total energy: -3.78 eV per atom
data_Sn2AsAu
_chemical_formula_sum 'Sn2 As1 Au1'
_space_group_name_H-M_alt 'P 1'
_space_group_IT_number 1
_cell_length_a 5.052
_cell_length_b 5.052
_cell_length_c 5.052
_cell_angle_alpha 60.00
_cell_angle_beta 60.00
_cell_angle_gamma 60.00
loop_
_space_group_symop_operation_xyz
'x,y,z'
loop_
_atom_site_label
_atom_site_type_symbol
_atom_site_fract_x
_atom_site_fract_y
_atom_site_fract_z
As1 As 0.500 0.500 0.500
Au1 Au 0.250 0.250 0.250
Sn1 Sn 0.000 0.000 0.000
Sn2 Sn 0.750 0.750 0.750

# ZrCuBOs GGA-PBE relaxed
# * offset from the most stable computed form: 0.0 meV/atom
# * symmetry: F-43m (216)
data_ZrCuBOs
_chemical_formula_sum 'Zr1 Cu1 B1 Os1'
_space_group_name_H-M_alt 'P 1'
_space_group_IT_number 1
_cell_length_a 4.297
_cell_length_b 4.297
_cell_length_c 4.297
_cell_angle_alpha 60.00
_cell_angle_beta 60.00
_cell_angle_gamma 60.00
loop_
_space_group_symop_operation_xyz
'x,y,z'
loop_
_atom_site_label
_atom_site_type_symbol
_atom_site_fract_x
_atom_site_fract_y
_atom_site_fract_z
B1 B 0.000 0.000 0.000
Cu1 Cu 0.750 0.750 0.750
Os1 Os 0.250 0.250 0.250
Zr1 Zr 0.500 0.500 0.500

# Pm4SmBi5 GGA-PBE relaxed
# * symmetry: I4/mmm (139)
# * electronic total energy: -5.35 eV per atom
data_Pm4SmBi5
_chemical_formula_sum 'Pm4 Sm1 Bi5'
_space_group_name_H-M_alt 'P 1'
_space_group_IT_number 1
_cell_length_a 16.440
_cell_length_b 16.440
_cell_length_c 16.440
_cell_angle_alpha 164.06
_cell_angle_beta 164.06
_cell_angle_gamma 22.62
loop_
_space_group_symop_operation_xyz
'x,y,z'
loop_
_atom_site_label
_atom_site_type_symbol
_atom_site_fract_x
_atom_site_fract_y
_atom_site_fract_z
Bi1 Bi 0.100 0.100 0.000
Bi2 Bi 0.300 0.300 0.000
Bi3 Bi 0.500 0.500 0.000
Bi4 Bi 0.700 0.700 0.000
Bi5 Bi 0.900 0.900 0.000
Pm1 Pm 0.200 0.200 0.000
Pm2 Pm 0.400 0.400 0.000
Pm3 Pm 0.600 0.600 0.000
Pm4 Pm 0.800 0.800 0.000
Sm1 Sm 0.000 0.000 0.000

# RbPrSeO GGA-PBE relaxed
# * offset from the most stable computed form: 108.7 meV/atom
# * symmetry: Pmc2_1 (26)
data_RbPrSeO
_chemical_formula_sum 'Rb2 Pr2 Se2 O2'
_space_group_name_H-M_alt 'P 1'
_space_group_IT_number 1
_cell_length_a 4.790
_cell_length_b 8.588
_cell_length_c 6.888
_cell_angle_alpha 90.00
_cell_angle_beta 90.00
_cell_angle_gamma 90.00
loop_
_space_group_symop_operation_xyz
'x,y,z'
loop_
_atom_site_label
_atom_site_type_symbol
_atom_site_fract_x
_atom_site_fract_y
_atom_site_fract_z
O1 O 0.500 0.090 0.218
O2 O 0.500 0.910 0.718
Pr1 Pr 0.500 0.876 0.038
Pr2 Pr 0.500 0.124 0.538
Rb1 Rb 0.000 0.302 0.112
Rb2 Rb 0.000 0.698 0.612
Se1 Se 0.000 0.700 0.123
Se2 Se 0.000 0.300 0.623

# Gd2SiAu GGA-PBE relaxed
# * symmetry: Pmn2_1 (31)
# * electronic total energy: -5.26 eV per atom
data_Gd2SiAu
_chemical_formula_sum 'Gd4 Si2 Au2'
_space_group_name_H-M_alt 'P 1'
_space_group_IT_number 1
_cell_length_a 4.279
_cell_length_b 7.708
_cell_length_c 5.830
_cell_angle_alpha 90.00
_cell_angle_beta 90.00
_cell_angle_gamma 90.00
loop_
_space_group_symop_operation_xyz
'x,y,z'
loop_
_atom_site_label
_atom_site_type_symbol
_atom_site_fract_x
_atom_site_fract_y
_atom_site_fract_z
Au1 Au 0.500 0.708 0.364
Au2 Au 0.000 0.292 0.864
Gd1 Gd 0.000 0.923 0.132
Gd2 Gd 0.000 0.429 0.359
Gd3 Gd 0.500 0.077 0.632
Gd4 Gd 0.500 0.571 0.859
Si1 Si 0.500 0.201 0.144
Si2 Si 0.000 0.799 0.644

Short version: volume = 18.8, 25.0, 12.8, 22.8, 14.0, 33.5, 35.4, 24.0 A^3/atom, in the order given.